--- a ---
Compound: ScTa3
Source: the Alexandria database
Functional: GGA-PBEsol
Structure: relaxed

Calculated volume, Å³/atom: 18.93

Unit cell a=3.324 b=3.324 c=6.855 alpha=90.00 beta=90.00 gamma=90.00
Space group P4/mmm (No. 123)
Asymmetric unit:
Sc  0.000  0.000  0.000 [1 per cell]
Ta  0.000  0.000  0.500 [1 per cell]
Ta  0.500  0.500  0.282 [2 per cell]


--- b ---
Compound: ScTa3
Source: the Alexandria database
Functional: GGA-PBEsol
Structure: relaxed

Calculated volume, Å³/atom: 18.67

Unit cell a=4.211 b=4.211 c=4.211 alpha=90.00 beta=90.00 gamma=90.00
Space group Pm-3m (No. 221)
Asymmetric unit:
Sc  0.000  0.000  0.000 [1 per cell]
Ta  0.000  0.500  0.500 [3 per cell]


--- c ---
Compound: ScTa3
Source: the Alexandria database
Functional: GGA-PBEsol
Structure: relaxed

Calculated volume, Å³/atom: 18.53

Unit cell a=3.310 b=4.690 c=9.550 alpha=90.00 beta=90.00 gamma=90.00
Space group Cmmm (No. 65)
Asymmetric unit:
Sc  0.000  0.000  0.000 [2 per cell]
Ta  0.000  0.000  0.500 [2 per cell]
Ta  0.000  0.500  0.264 [4 per cell]


In terms of stability, c leads; the second structure lies 4.7 kJ/mol of atoms higher.


--- a ---
Compound: ScTa
Source: the Alexandria database
Functional: GGA-PBEsol
Structure: relaxed

Calculated volume, Å³/atom: 20.69

Unit cell a=3.400 b=3.400 c=7.159 alpha=90.00 beta=90.00 gamma=90.00
Space group P4/nmm (No. 129, origin choice 2)
Asymmetric unit:
Sc  0.250  0.250  0.162 [2 per cell]
Ta  0.250  0.250  0.592 [2 per cell]


--- b ---
Compound: ScTa
Source: the Alexandria database
Functional: GGA-PBEsol
Structure: relaxed

Calculated volume, Å³/atom: 19.63

Unit cell a=11.452 b=2.924 c=7.207 alpha=90.00 beta=102.63 gamma=90.00
Space group Cm (No. 8)
Asymmetric unit:
Sc  0.000  0.000  0.000 [2 per cell]
Sc  0.066  0.000  0.642 [2 per cell]
Sc  0.172  0.500  0.336 [2 per cell]
Ta  0.248  0.500  0.977 [2 per cell]
Ta  0.331  0.000  0.661 [2 per cell]
Ta  0.396  0.000  0.307 [2 per cell]


In terms of stability, a leads; the second structure lies 8.0 kJ/mol of atoms higher.


--- a ---
Compound: ScTa
Source: the Alexandria database
Functional: GGA-PBEsol
Structure: relaxed

Calculated volume, Å³/atom: 30.20

Unit cell a=6.228 b=6.228 c=6.228 alpha=90.00 beta=90.00 gamma=90.00
Space group F-43m (No. 216)
Asymmetric unit:
Sc  0.000  0.000  0.000 [4 per cell]
Ta  0.250  0.250  0.250 [4 per cell]


--- b ---
Compound: ScTa
Source: the Alexandria database
Functional: GGA-PBEsol
Structure: relaxed

Calculated volume, Å³/atom: 19.70

Unit cell a=3.0116 b=3.0116 c=10.0314 alpha=90.00 beta=90.00 gamma=120.00
Space group P6_3/mmc (No. 194)
Asymmetric unit:
Sc  0.0000  0.0000  0.0000 [2 per cell]
Ta  0.3333  0.6667  0.2500 [2 per cell]


In terms of stability, b leads; the second structure lies 265.0 kJ/mol of atoms higher.


--- a ---
Compound: ScTa
Source: the Alexandria database
Functional: GGA-PBEsol
Structure: relaxed

Calculated volume, Å³/atom: 19.73

Unit cell a=2.971 b=4.854 c=5.471 alpha=90.00 beta=90.00 gamma=90.00
Space group Pmmn (No. 59, origin choice 2)
Asymmetric unit:
Sc  0.250  0.250  0.103 [2 per cell]
Ta  0.250  0.750  0.422 [2 per cell]


--- b ---
Compound: ScTa
Source: the Alexandria database
Functional: GGA-PBEsol
Structure: relaxed

Calculated volume, Å³/atom: 19.87

Unit cell a=3.561 b=4.900 c=9.111 alpha=90.00 beta=90.00 gamma=90.00
Space group Imma (No. 74)
Asymmetric unit:
Sc  0.000  0.250  0.115 [4 per cell]
Ta  0.000  0.250  0.645 [4 per cell]


In terms of stability, a leads; the second structure lies 6.3 kJ/mol of atoms higher.